Record 1
DFT (PBE) results for a relaxed structure of SrScGa.

## Properties
Its formation energy is -62 kJ/mol of formula units. The energy relative to the lowest polymorph listed for this composition comes out at 170.4 meV/atom.

Cell and atoms, written as CIF:
```
data_SrScGa
_chemical_formula_sum 'Sr4 Sc4 Ga4'
_space_group_name_H-M_alt 'C 1 m 1'
_space_group_IT_number 8
_space_group_name_Hall 'C -2y'
_cell_length_a 10.7731
_cell_length_b 4.4192
_cell_length_c 7.5239
_cell_angle_alpha 90.00
_cell_angle_beta 91.28
_cell_angle_gamma 90.00
loop_
_atom_site_label
_atom_site_fract_x
_atom_site_fract_y
_atom_site_fract_z
_atom_site_occupancy
Sr1 0.0000 0.0000 0.0000 1
Sr2 0.2197 0.5000 0.7156 1
Sc1 0.0159 0.0000 0.4578 1
Sc2 0.3007 0.0000 0.3127 1
Ga1 0.1314 0.5000 0.2783 1
Ga2 0.4236 0.0000 0.6562 1
```


Record 2
DFT (PBE) results for a relaxed structure of Y4CuAg.

## Properties
Its formation energy is 363 kJ/mol of formula units. The energy relative to the lowest polymorph listed for this composition comes out at 781.2 meV/atom.

Cell and atoms, written as CIF:
```
data_Y4CuAg
_chemical_formula_sum 'Y16 Cu4 Ag4'
_space_group_name_H-M_alt 'F -4 3 m'
_space_group_IT_number 216
_space_group_name_Hall 'F -4 2 3'
_cell_length_a 8.7853
_cell_length_b 8.7853
_cell_length_c 8.7853
_cell_angle_alpha 90.00
_cell_angle_beta 90.00
_cell_angle_gamma 90.00
loop_
_atom_site_label
_atom_site_fract_x
_atom_site_fract_y
_atom_site_fract_z
_atom_site_occupancy
Y1 0.1251 0.1251 0.1251 1
Cu1 0.0000 0.0000 0.5000 1
Ag1 0.2500 0.2500 0.7500 1
```


Record 3
DFT (PBE) results for a relaxed structure of Nb2FeHRu.

## Properties
The energy relative to the lowest polymorph listed for this composition comes out at 0.0 meV/atom.

Cell and atoms, written as CIF:
```
data_Nb2FeHRu
_chemical_formula_sum 'Nb2 Fe1 H1 Ru1'
_space_group_name_H-M_alt 'P 4/m m m'
_space_group_IT_number 123
_space_group_name_Hall '-P 4 2'
_cell_length_a 4.2323
_cell_length_b 4.2323
_cell_length_c 3.5166
_cell_angle_alpha 90.00
_cell_angle_beta 90.00
_cell_angle_gamma 90.00
loop_
_atom_site_label
_atom_site_fract_x
_atom_site_fract_y
_atom_site_fract_z
_atom_site_occupancy
Nb1 0.0000 0.5000 0.0000 1
Fe1 0.0000 0.0000 0.5000 1
H1 0.0000 0.0000 0.0000 1
Ru1 0.5000 0.5000 0.5000 1
```


Record 4
DFT (PBE) results for a relaxed structure of CsTl2Ag2.

## Properties
Its formation energy is 57 kJ/mol of formula units. The energy relative to the lowest polymorph listed for this composition comes out at 109.3 meV/atom.

Cell and atoms, written as CIF:
```
data_CsTl2Ag2
_chemical_formula_sum 'Cs2 Tl4 Ag4'
_space_group_name_H-M_alt 'P 4/m b m'
_space_group_IT_number 127
_space_group_name_Hall '-P 4 2ab'
_cell_length_a 9.2052
_cell_length_b 9.2052
_cell_length_c 3.5579
_cell_angle_alpha 90.00
_cell_angle_beta 90.00
_cell_angle_gamma 90.00
loop_
_atom_site_label
_atom_site_fract_x
_atom_site_fract_y
_atom_site_fract_z
_atom_site_occupancy
Cs1 0.0000 0.0000 0.0000 1
Tl1 0.1490 0.3510 0.5000 1
Ag1 0.1286 0.6286 0.0000 1
```


Record 5
DFT (PBE) results for a relaxed structure of CrRu2Au.

## Properties
Its formation energy is 101 kJ/mol of formula units. The energy relative to the lowest polymorph listed for this composition comes out at 62.7 meV/atom.

Cell and atoms, written as CIF:
```
data_CrRu2Au
_chemical_formula_sum 'Cr2 Ru4 Au2'
_space_group_name_H-M_alt 'C 1 2/m 1'
_space_group_IT_number 12
_space_group_name_Hall '-C 2y'
_cell_length_a 9.0399
_cell_length_b 2.7443
_cell_length_c 4.7609
_cell_angle_alpha 90.00
_cell_angle_beta 102.17
_cell_angle_gamma 90.00
loop_
_atom_site_label
_atom_site_fract_x
_atom_site_fract_y
_atom_site_fract_z
_atom_site_occupancy
Cr1 0.0000 0.0000 0.0000 1
Ru1 0.2332 0.5000 0.2211 1
Au1 0.0000 0.5000 0.5000 1
```


Record 6
DFT (PBE) results for a relaxed structure of NdMg9Cd2.

## Properties
Its formation energy is -88 kJ/mol of formula units. The energy relative to the lowest polymorph listed for this composition comes out at 9.9 meV/atom.

Cell and atoms, written as CIF:
```
data_NdMg9Cd2
_chemical_formula_sum 'Nd1 Mg9 Cd2'
_space_group_name_H-M_alt 'P 6/m m m'
_space_group_IT_number 191
_space_group_name_Hall '-P 6 2'
_cell_length_a 9.9978
_cell_length_b 9.9978
_cell_length_c 3.2914
_cell_angle_alpha 90.00
_cell_angle_beta 90.00
_cell_angle_gamma 120.00
loop_
_atom_site_label
_atom_site_fract_x
_atom_site_fract_y
_atom_site_fract_z
_atom_site_occupancy
Nd1 0.0000 0.0000 0.0000 1
Mg1 0.0000 0.5000 0.0000 1
Mg2 0.1803 0.3607 0.5000 1
Cd1 0.3333 0.6667 0.0000 1
```


Record 7
DFT (PBE) results for a relaxed structure of BeIr2Os.

## Properties
Its formation energy is 198 kJ/mol of formula units.

Cell and atoms, written as CIF:
```
data_BeIr2Os
_chemical_formula_sum 'Be4 Ir8 Os4'
_space_group_name_H-M_alt 'I -4 2 d'
_space_group_IT_number 122
_space_group_name_Hall 'I -4 2bw'
_cell_length_a 3.7906
_cell_length_b 3.7906
_cell_length_c 16.5218
_cell_angle_alpha 90.00
_cell_angle_beta 90.00
_cell_angle_gamma 90.00
loop_
_atom_site_label
_atom_site_fract_x
_atom_site_fract_y
_atom_site_fract_z
_atom_site_occupancy
Be1 0.0000 0.0000 0.0000 1
Ir1 0.2295 0.2500 0.1250 1
Os1 0.0000 0.0000 0.5000 1
```


Record 8
DFT (PBE) results for a relaxed structure of LaZrBiW2.

## Properties
Its formation energy is 753 kJ/mol of formula units.

Cell and atoms, written as CIF:
```
data_LaZrBiW2
_chemical_formula_sum 'La1 Zr1 Bi1 W2'
_space_group_name_H-M_alt 'P 4/m m m'
_space_group_IT_number 123
_space_group_name_Hall '-P 4 2'
_cell_length_a 4.9027
_cell_length_b 4.9027
_cell_length_c 5.7264
_cell_angle_alpha 90.00
_cell_angle_beta 90.00
_cell_angle_gamma 90.00
loop_
_atom_site_label
_atom_site_fract_x
_atom_site_fract_y
_atom_site_fract_z
_atom_site_occupancy
La1 0.0000 0.0000 0.0000 1
Zr1 0.0000 0.0000 0.5000 1
Bi1 0.5000 0.5000 0.0000 1
W1 0.0000 0.5000 0.5000 1
```


Record 9
DFT (PBE) results for a relaxed structure of KMo2Br.

## Properties
The energy relative to the lowest polymorph listed for this composition comes out at 383.5 meV/atom.

Cell and atoms, written as CIF:
```
data_KMo2Br
_chemical_formula_sum 'K2 Mo4 Br2'
_space_group_name_H-M_alt 'C 1 2/m 1'
_space_group_IT_number 12
_space_group_name_Hall '-C 2y'
_cell_length_a 13.3086
_cell_length_b 3.2338
_cell_length_c 5.4460
_cell_angle_alpha 90.00
_cell_angle_beta 109.71
_cell_angle_gamma 90.00
loop_
_atom_site_label
_atom_site_fract_x
_atom_site_fract_y
_atom_site_fract_z
_atom_site_occupancy
K1 0.0000 0.0000 0.0000 1
Mo1 0.2121 0.0000 0.5938 1
Br1 0.0000 0.5000 0.5000 1
```


Record 10
DFT (PBE) results for a relaxed structure of AlNiRhCl2.

Cell and atoms, written as CIF:
```
data_AlNiRhCl2
_chemical_formula_sum 'Al1 Ni1 Rh1 Cl2'
_space_group_name_H-M_alt 'P 4/m m m'
_space_group_IT_number 123
_space_group_name_Hall '-P 4 2'
_cell_length_a 4.3216
_cell_length_b 4.3216
_cell_length_c 5.2077
_cell_angle_alpha 90.00
_cell_angle_beta 90.00
_cell_angle_gamma 90.00
loop_
_atom_site_label
_atom_site_fract_x
_atom_site_fract_y
_atom_site_fract_z
_atom_site_occupancy
Al1 0.0000 0.0000 0.0000 1
Ni1 0.5000 0.5000 0.5000 1
Rh1 0.5000 0.5000 0.0000 1
Cl1 0.0000 0.5000 0.5000 1
```


Record 11
DFT (PBE) results for a relaxed structure of MgAgH2.

## Properties
The energy relative to the lowest polymorph listed for this composition comes out at 343.4 meV/atom.

Cell and atoms, written as CIF:
```
data_MgAgH2
_chemical_formula_sum 'Mg4 Ag4 H8'
_space_group_name_H-M_alt 'F m -3 m'
_space_group_IT_number 225
_space_group_name_Hall '-F 4 2 3'
_cell_length_a 5.6331
_cell_length_b 5.6331
_cell_length_c 5.6331
_cell_angle_alpha 90.00
_cell_angle_beta 90.00
_cell_angle_gamma 90.00
loop_
_atom_site_label
_atom_site_fract_x
_atom_site_fract_y
_atom_site_fract_z
_atom_site_occupancy
Mg1 0.0000 0.0000 0.0000 1
Ag1 0.0000 0.0000 0.5000 1
H1 0.2500 0.2500 0.2500 1
```


Record 12
DFT (PBE) results for a relaxed structure of Hf2InBr.

## Properties
The energy relative to the lowest polymorph listed for this composition comes out at 216.4 meV/atom.

Cell and atoms, written as CIF:
```
data_Hf2InBr
_chemical_formula_sum 'Hf8 In4 Br4'
_space_group_name_H-M_alt 'I -4 2 d'
_space_group_IT_number 122
_space_group_name_Hall 'I -4 2bw'
_cell_length_a 4.3105
_cell_length_b 4.3105
_cell_length_c 21.0288
_cell_angle_alpha 90.00
_cell_angle_beta 90.00
_cell_angle_gamma 90.00
loop_
_atom_site_label
_atom_site_fract_x
_atom_site_fract_y
_atom_site_fract_z
_atom_site_occupancy
Hf1 0.2425 0.2500 0.1250 1
In1 0.0000 0.0000 0.0000 1
Br1 0.0000 0.0000 0.5000 1
```


One value per record, in order, for energy: -3.90; -4.84; -8.36; -2.14; -7.60; -1.82; -7.66; -7.09; -5.48; -3.79; -2.38; -5.75 eV/atom.